Below is an optimized crystal structure of Sr2VAs2O9, with properties calculated at the PBE+U level.

Summary:
Total magnetic moment in μB per cell: 2.0
DFT total energy in eV/cell: -187.2
Calculated density in g/cm³: 4.534
Calculated volume in Å³/atom: 13.604

Cell: 9.1118 9.1118 7.0069 Å, 102.26 102.26 130.54°
Fractional positions:
Sr  0.0455  0.9545  0.5000
Sr  0.3731  0.6223  0.0013
Sr  0.6223  0.3731  0.5013
Sr  0.9545  0.0455  0.0000
V  0.0159  0.5244  0.2710
V  0.5244  0.0159  0.7710
As  0.1594  0.8354  0.9975
As  0.4208  0.5748  0.4987
As  0.5748  0.4208  0.9987
As  0.8354  0.1594  0.4975
O  0.0142  0.2162  0.7256
O  0.0556  0.6021  0.0200
O  0.2121  0.7830  0.4925
O  0.2162  0.0142  0.2256
O  0.2193  0.4970  0.2662
O  0.3082  0.3443  0.5184
O  0.3443  0.3082  0.0184
O  0.3899  0.9290  0.9762
O  0.4938  0.7696  0.7334
O  0.4970  0.2193  0.7662
O  0.6021  0.0556  0.5200
O  0.6510  0.6920  0.4765
O  0.6920  0.6510  0.9765
O  0.7696  0.4938  0.2334
O  0.7822  0.9850  0.2684
O  0.7830  0.2121  0.9925
O  0.9290  0.3899  0.4762
O  0.9850  0.7822  0.7684